[1]
DyTm2HfSb4 after structural relaxation, computed with PBE.

Calculated values
- DOS(E_F) (states/eV per cell) = 1.35
- formation energy from raw total energies (eV per atom) = -0.9069
- symmetry = P2/m (10)

abc: 4.277 7.415 7.413
angles: 109.28 90.00 90.00
Positions (direct):
Dy  0.500  0.500  0.000
Tm  0.500  0.000  0.500
Tm  0.000  0.500  0.500
Hf  0.000  0.000  0.000
Sb  0.500  0.239  0.241
Sb  0.500  0.761  0.759
Sb  0.000  0.243  0.753
Sb  0.000  0.757  0.247

=====

[2]
Dy2TmHfSb4 after structural relaxation, computed with PBE.

Calculated values
- DOS(E_F) (states/eV per cell) = 1.33
- formation energy from raw total energies (eV per atom) = -0.9294
- symmetry = P2/m (10)

abc: 4.290 7.434 7.435
angles: 109.29 90.00 90.00
Positions (direct):
Dy  0.500  0.000  0.500
Dy  0.000  0.500  0.500
Tm  0.500  0.500  0.000
Hf  0.000  0.000  0.000
Sb  0.500  0.239  0.237
Sb  0.500  0.761  0.763
Sb  0.000  0.246  0.759
Sb  0.000  0.754  0.241

=====

[3]
DyHfSc2 after structural relaxation, computed with PBE.

Calculated values
- DOS(E_F) (states/eV per cell) = 7.54
- formation energy (eV/atom) = 0.1426
- symmetry = P4/mmm (123)
- energy relative to the lowest polymorph listed for this composition (meV/atom) = 77

abc: 3.762 3.762 7.218
angles: 90.00 90.00 90.00
Positions (direct):
Sc  0.000  0.000  0.782
Sc  0.000  0.000  0.218
Hf  0.500  0.500  0.000
Dy  0.500  0.500  0.500

=====

[4]
DyHfSc3 after structural relaxation, computed with PBE.

Calculated values
- DOS(E_F) (states/eV per cell) = 15.85
- formation energy (eV/atom) = 0.2050
- symmetry = C2/m (12)
- energy relative to the lowest polymorph listed for this composition (meV/atom) = 163

abc: 3.166 8.389 10.354
angles: 74.06 90.00 100.88
Positions (direct):
Dy  0.101  0.202  0.938
Dy  0.899  0.798  0.062
Hf  0.406  0.811  0.523
Hf  0.594  0.189  0.477
Sc  0.987  0.974  0.724
Sc  0.013  0.026  0.276
Sc  0.695  0.390  0.142
Sc  0.305  0.610  0.858
Sc  0.795  0.590  0.370
Sc  0.205  0.410  0.630

=====

[5]
Dy3Hf12Sc5 after structural relaxation, computed with PBE.

Calculated values
- DOS(E_F) (states/eV per cell) = 136.25
- formation energy (eV/atom) = 1.3561
- symmetry = Ia-3d (230)

abc: 15.099 15.099 15.099
angles: 109.47 109.47 109.47
Last column: magnetic moment on the atom in μB.
Positions (direct):
Dy  0.750  0.375  0.125  -0.03
Dy  0.875  0.750  0.125  -0.03
Dy  0.375  0.750  0.625  -0.03
Dy  0.250  0.125  0.375  -0.03
Dy  0.875  0.125  0.250  -0.03
Dy  0.375  0.625  0.250  -0.03
Dy  0.625  0.375  0.750  -0.03
Dy  0.125  0.875  0.750  -0.03
Dy  0.750  0.875  0.625  -0.03
Dy  0.625  0.250  0.375  -0.03
Dy  0.125  0.250  0.875  -0.03
Dy  0.250  0.625  0.875  -0.03
Sc  0.125  0.375  0.250  0.36
Sc  0.000  0.500  0.000  0.00
Sc  0.000  0.000  0.000  0.00
Sc  0.375  0.250  0.125  0.36
Sc  0.500  0.000  0.500  0.00
Sc  0.500  0.500  0.000  0.00
Sc  0.125  0.750  0.375  0.36
Sc  0.750  0.125  0.875  0.36
Sc  0.750  0.625  0.375  0.36
Sc  0.375  0.125  0.750  0.36
Sc  0.625  0.875  0.250  0.36
Sc  0.500  0.500  0.500  0.00
Sc  0.500  0.000  0.000  0.00
Sc  0.000  0.000  0.500  0.00
Sc  0.250  0.375  0.625  0.36
Sc  0.250  0.875  0.125  0.36
Sc  0.000  0.500  0.500  0.00
Sc  0.875  0.250  0.625  0.36
Sc  0.625  0.750  0.875  0.36
Sc  0.875  0.625  0.750  0.36
Hf  0.724  0.150  0.083  0.02
Hf  0.359  0.583  0.433  0.02
Hf  0.917  0.350  0.276  0.02
Hf  0.583  0.224  0.150  0.02
Hf  0.574  0.724  0.641  0.02
Hf  0.917  0.567  0.141  0.02
Hf  0.359  0.776  0.426  0.02
Hf  0.067  0.926  0.150  0.02
Hf  0.567  0.917  0.641  0.02
Hf  0.724  0.574  0.141  0.02
Hf  0.776  0.417  0.350  0.02
Hf  0.859  0.933  0.083  0.02
Hf  0.150  0.724  0.583  0.02
Hf  0.350  0.433  0.074  0.02
Hf  0.074  0.933  0.350  0.02
Hf  0.426  0.150  0.567  0.02
Hf  0.074  0.141  0.224  0.02
Hf  0.417  0.641  0.067  0.02
Hf  0.859  0.926  0.276  0.02
Hf  0.150  0.426  0.067  0.02
Hf  0.350  0.917  0.776  0.02
Hf  0.567  0.650  0.426  0.02
Hf  0.933  0.859  0.583  0.02
Hf  0.776  0.359  0.926  0.02
Hf  0.433  0.350  0.574  0.02
Hf  0.067  0.141  0.417  0.02
Hf  0.224  0.641  0.074  0.02
Hf  0.141  0.074  0.724  0.02
Hf  0.650  0.083  0.224  0.02
Hf  0.850  0.574  0.933  0.02
Hf  0.583  0.359  0.933  0.02
Hf  0.574  0.850  0.433  0.02
Hf  0.926  0.859  0.776  0.02
Hf  0.926  0.067  0.650  0.02
Hf  0.850  0.276  0.417  0.02
Hf  0.141  0.067  0.917  0.02
Hf  0.650  0.567  0.926  0.02
Hf  0.433  0.083  0.359  0.02
Hf  0.276  0.426  0.859  0.02
Hf  0.224  0.583  0.650  0.02
Hf  0.933  0.074  0.850  0.02
Hf  0.641  0.224  0.574  0.02
Hf  0.417  0.776  0.850  0.02
Hf  0.083  0.433  0.859  0.02
Hf  0.426  0.276  0.359  0.02
Hf  0.083  0.650  0.724  0.02
Hf  0.641  0.417  0.567  0.02
Hf  0.276  0.850  0.917  0.02

=====

[6]
DyHfSc2 after structural relaxation, computed with PBE.

Calculated values
- DOS(E_F) (states/eV per cell) = 6.29
- formation energy (eV/atom) = 0.1091
- symmetry = P4/mmm (123)
- energy relative to the lowest polymorph listed for this composition (meV/atom) = 44

abc: 4.605 4.662 4.662
angles: 90.00 90.00 90.00
Positions (direct):
Sc  0.000  0.000  0.500
Sc  0.000  0.500  0.000
Hf  0.500  0.500  0.500
Dy  0.500  0.000  0.000